Entry 1:
This record from the Alexandria database describes a relaxed TiAgSn3 crystal. The functional is PBEsol.

Structure (extended XYZ):
```
5
Lattice="5.195 0.000 0.000 0.000 5.195 0.000 0.000 0.000 5.195" Properties=species:S:1:pos:R:3 pbc="T T T"
Ti 0.000 0.000 0.000
Ag 2.598 2.598 2.598
Sn 0.000 2.598 2.598
Sn 2.598 0.000 2.598
Sn 2.598 2.598 0.000
```

**DFT total energy**: -4.078 eV per atom
**D(E_F)**: 7.91 states/eV per cell

***

Entry 2:
This record from the Alexandria database describes a relaxed Co3PdPb crystal. The functional is PBEsol.

Structure (extended XYZ):
```
5
Lattice="4.530 0.000 0.000 0.000 4.530 0.000 0.000 0.000 4.530" Properties=species:S:1:pos:R:3 pbc="T T T"
Co 0.000 0.000 2.265
Co 0.000 2.265 0.000
Co 2.265 0.000 0.000
Pd 0.000 0.000 0.000
Pb 2.265 2.265 2.265
```

**DFT total energy**: -5.386 eV per atom
**D(E_F)**: 7.96 states/eV per cell

***

Entry 3:
This record from the Alexandria database describes a relaxed ScAg crystal. The functional is PBEsol.

Structure (extended XYZ):
```
8
Lattice="3.233 0.000 0.000 0.000 10.524 0.000 0.000 0.000 4.619" Properties=species:S:1:pos:R:3 pbc="T T T"
Sc 0.000 1.557 1.155
Sc 0.000 8.967 3.464
Sc 1.617 3.705 3.464
Sc 1.617 6.819 1.155
Ag 0.000 4.415 1.155
Ag 0.000 6.109 3.464
Ag 1.617 0.847 3.464
Ag 1.617 9.677 1.155
```

**DFT total energy**: -5.209 eV per atom
**D(E_F)**: 5.91 states/eV per cell

***

Entry 4:
This record from the Alexandria database describes a relaxed Mn2GeHPb crystal. The functional is PBEsol.

Structure (extended XYZ):
```
5
Lattice="4.077 0.000 0.000 0.000 4.077 0.000 0.000 0.000 4.343" Properties=species:S:1:pos:R:3 pbc="T T T"
Mn 0.000 2.038 0.000
Mn 2.038 0.000 0.000
Ge 0.000 0.000 2.172
H 0.000 0.000 0.000
Pb 2.038 2.038 2.172
```

**DFT total energy**: -5.858 eV per atom
**D(E_F)**: 2.14 states/eV per cell

***

Entry 5:
This record from the Alexandria database describes a relaxed BeCdFe crystal. The functional is PBEsol.

Structure (extended XYZ):
```
12
Lattice="5.789 0.000 0.000 0.000 5.789 0.000 0.000 0.000 5.789" Properties=species:S:1:pos:R:3 pbc="T T T"
Be 0.000 0.000 0.000
Be 0.000 2.894 2.894
Be 2.894 0.000 2.894
Be 2.894 2.894 0.000
Cd 1.447 1.447 1.447
Cd 1.447 4.342 4.342
Cd 4.342 1.447 4.342
Cd 4.342 4.342 1.447
Fe 0.000 0.000 2.894
Fe 0.000 2.894 0.000
Fe 2.894 0.000 0.000
Fe 2.894 2.894 2.894
```

**ΔE to the lowest computed polymorph**: 565 meV/atom
**D(E_F)**: 17.41 states/eV per cell

***

Entry 6:
This record from the Alexandria database describes a relaxed Mg3TcRh crystal. The functional is PBEsol.

Structure (extended XYZ):
```
5
Lattice="4.733 0.000 0.000 0.000 4.733 0.000 0.000 0.000 4.733" Properties=species:S:1:pos:R:3 pbc="T T T"
Mg 0.000 0.000 2.366
Mg 0.000 2.366 0.000
Mg 2.366 0.000 0.000
Tc 2.366 2.366 2.366
Rh 0.000 0.000 0.000
```

**DFT total energy**: -4.077 eV per atom
**D(E_F)**: 4.06 states/eV per cell

***

Entry 7:
This record from the Alexandria database describes a relaxed La2AlCl crystal. The functional is PBEsol.

Structure (extended XYZ):
```
12
Lattice="4.029 0.000 0.000 -2.014 3.489 0.000 0.000 0.000 23.393" Properties=species:S:1:pos:R:3 pbc="T T T"
La 0.000 0.000 5.724
La 0.000 0.000 17.669
La 0.000 2.326 9.872
La 0.000 2.326 21.319
La 2.014 1.163 2.074
La 2.014 1.163 13.521
Al 0.000 0.000 0.000
Al 0.000 2.326 15.595
Al 2.014 1.163 7.798
Cl 0.000 0.000 11.696
Cl 0.000 2.326 3.899
Cl 2.014 1.163 19.494
```

**ΔE to the lowest computed polymorph**: 49 meV/atom
**D(E_F)**: 6.20 states/eV per cell
**Uncorrected formation energy**: -3.5 eV per formula unit

***

Entry 8:
This record from the Alexandria database describes a relaxed Sc2TaO crystal. The functional is PBEsol.

Structure (extended XYZ):
```
12
Lattice="3.026 0.000 0.000 -1.513 2.621 0.000 0.000 0.000 24.263" Properties=species:S:1:pos:R:3 pbc="T T T"
Sc 0.000 0.000 2.763
Sc 0.000 0.000 21.500
Sc 0.000 1.747 13.412
Sc 0.000 1.747 18.938
Sc 1.513 0.874 5.325
Sc 1.513 0.874 10.851
Ta 0.000 0.000 0.000
Ta 0.000 1.747 16.175
Ta 1.513 0.874 8.088
O 0.000 0.000 12.131
O 0.000 1.747 4.044
O 1.513 0.874 20.219
```

**D(E_F)**: 10.00 states/eV per cell
**Uncorrected formation energy**: -4.6 eV per formula unit

***

Copy entry 3 word for word.
This record from the Alexandria database describes a relaxed ScAg crystal. The functional is PBEsol.

Structure (extended XYZ):
```
8
Lattice="3.233 0.000 0.000 0.000 10.524 0.000 0.000 0.000 4.619" Properties=species:S:1:pos:R:3 pbc="T T T"
Sc 0.000 1.557 1.155
Sc 0.000 8.967 3.464
Sc 1.617 3.705 3.464
Sc 1.617 6.819 1.155
Ag 0.000 4.415 1.155
Ag 0.000 6.109 3.464
Ag 1.617 0.847 3.464
Ag 1.617 9.677 1.155
```

**DFT total energy**: -5.209 eV per atom
**D(E_F)**: 5.91 states/eV per cell